BaHfOs2O after structural relaxation, computed with PBE.

Geometry as POSCAR:
```
BaHfOs2O
1.0
5.154 0.000 0.000
0.000 5.154 0.000
0.000 0.000 4.136
Ba Hf Os O
1 1 2 1
Cartesian
0.000 0.000 0.000
2.577 2.577 2.068
0.000 2.577 0.000
2.577 0.000 0.000
0.000 0.000 2.068
```

The density of states at the Fermi level is 5.1 states/eV per cell. Its total DFT energy (no corrections) is -5.75 eV/atom. The space-group type is P4/mmm.

---

PIrO2F after structural relaxation, computed with PBE.

Geometry as POSCAR:
```
PIrO2F
1.0
3.847 0.000 0.000
0.000 3.847 0.000
0.000 0.000 4.537
P Ir O F
1 1 2 1
Cartesian
0.000 0.000 0.000
1.924 1.924 2.268
0.000 1.924 2.268
1.924 0.000 2.268
1.924 1.924 0.000
```

The density of states at the Fermi level is 3.9 states/eV per cell. Its total DFT energy (no corrections) is -5.05 eV/atom. The space-group type is P4/mmm.

---

NdBiAu4 after structural relaxation, computed with PBE.

Geometry as POSCAR:
```
NdBiAu4
1.0
0.000 4.058 4.058
4.058 0.000 4.058
4.058 4.058 0.000
Nd Bi Au
1 1 4
Cartesian
0.000 0.000 0.000
2.029 2.029 2.029
5.074 3.042 3.042
3.042 5.074 3.042
3.042 3.042 5.074
5.074 5.074 5.074
```

The density of states at the Fermi level is 1.3 states/eV per cell. The calculation puts the energy of formation at -42.7 kJ per mole of atoms. The space-group type is F-43m.

---

Ba3YTc2O9 after structural relaxation, computed with PBE.

Geometry as POSCAR:
```
Ba3YTc2O9
1.0
5.880 0.000 0.000
-2.940 5.092 0.000
0.000 0.000 7.210
Ba Y Tc O
3 1 2 9
Cartesian
0.000 0.000 0.000
0.000 3.395 4.785
2.940 1.697 2.425
0.000 0.000 3.605
0.000 3.395 1.087
2.940 1.697 6.123
-1.470 2.546 0.000
0.000 1.801 2.281
-1.380 4.192 2.281
1.560 0.901 4.929
2.940 0.000 0.000
1.470 2.546 0.000
1.380 4.192 2.281
4.320 0.901 4.929
2.940 3.291 4.929
```

The density of states at the Fermi level is 6.9 states/eV per cell. Its total DFT energy (no corrections) is -7.57 eV/atom. The space-group type is P-3m1.